{
  "formula": "RbCdMo2O8",
  "functional": "PBE with a Hubbard U",
  "state": "optimized geometry",
  "lattice": [[-3.899, 3.899, 3.507], [3.899, -3.899, 3.507], [3.899, 3.899, -3.507]],
  "species": ["Rb", "Cd", "Mo", "Mo", "O", "O", "O", "O", "O", "O", "O", "O"],
  "fractional_positions": [[0.000, 0.000, 0.000], [0.750, 0.250, 0.500], [0.250, 0.750, 0.500], [0.500, 0.500, 0.000], [0.085, 0.410, 0.324], [0.085, 0.761, 0.676], [0.163, 0.356, 0.807], [0.239, 0.915, 0.324], [0.549, 0.356, 0.193], [0.590, 0.915, 0.676], [0.644, 0.451, 0.807], [0.644, 0.837, 0.193]],
  "energy_ev_per_atom": -5.951,
  "density_g_cm3": 4.0,
  "n_ef_per_ev_cell": 11.72
}